No. 1
The following is a PBE calculation of Cs2HoSbSe4 after structural relaxation, from Alexandria via LeMat-Bulk.

## Properties
Raw formation energy = -25.727 kcal/mol of atoms

Unit cell a=9.083 b=9.083 c=8.932 alpha=119.45 beta=119.45 gamma=90.00
Fractional positions:
Cs 0.500 0.000 0.000
Cs 0.500 0.500 0.000
Cs 0.000 0.000 0.500
Cs 0.500 0.000 0.500
Ho 0.000 0.500 0.500
Ho 0.000 0.500 0.000
Se 0.775 0.313 0.544
Se 0.773 0.727 0.538
Se 0.773 0.727 0.962
Se 0.227 0.273 0.462
Se 0.187 0.725 0.956
Se 0.814 0.275 0.044
Se 0.225 0.686 0.456
Se 0.227 0.273 0.038
Sb 0.000 0.000 0.000
Sb 0.500 0.500 0.500

=====

No. 2
The following is a PBE calculation of SrTc3Ru after structural relaxation, from Alexandria via LeMat-Bulk.

## Properties
Formation enthalpy at 0 K = 3.222 eV per atom
Relative energy among the computed polymorphs = 1972.0 meV/atom

Unit cell a=4.632 b=4.632 c=4.632 alpha=90.00 beta=90.00 gamma=90.00
Fractional positions:
Ru 0.500 0.500 0.500
Tc 0.500 0.000 0.000
Tc 0.000 0.000 0.500
Tc 0.000 0.500 0.000
Sr 0.000 0.000 0.000

=====

No. 3
The following is a PBE calculation of Hf5Sn2 after structural relaxation, from Alexandria via LeMat-Bulk.

## Properties
Formation enthalpy at 0 K = -0.255 eV per atom
Relative energy among the computed polymorphs = 0.0 meV/atom

Unit cell a=4.191 b=4.190 c=18.152 alpha=90.00 beta=96.63 gamma=90.00
Fractional positions:
Sn 0.905 0.750 0.811
Sn 0.311 0.250 0.621
Sn 0.689 0.750 0.379
Sn 0.095 0.250 0.189
Hf 0.750 0.250 0.500
Hf 0.176 0.250 0.352
Hf 0.824 0.750 0.648
Hf 0.391 0.250 0.782
Hf 0.250 0.750 0.500
Hf 0.969 0.250 0.938
Hf 0.532 0.250 0.065
Hf 0.609 0.750 0.218
Hf 0.468 0.750 0.935
Hf 0.031 0.750 0.062

=====

No. 4
The following is a PBE calculation of Ti3AuN after structural relaxation, from Alexandria via LeMat-Bulk.

## Properties
Raw formation energy = -17.978 kcal/mol of atoms

Unit cell a=12.334 b=7.598 c=7.598 alpha=108.59 beta=136.20 gamma=43.80
Fractional positions:
Ti 0.583 0.580 0.420
Ti 0.080 0.739 0.574
Ti 0.417 0.420 0.580
Ti 0.920 0.574 0.739
Ti 0.920 0.261 0.426
Ti 0.420 0.761 0.926
Ti 0.420 0.074 0.239
Ti 0.917 0.920 0.080
Ti 0.080 0.426 0.261
Ti 0.580 0.239 0.074
Ti 0.083 0.080 0.920
Ti 0.580 0.926 0.761
Au 0.250 0.582 0.082
Au 0.750 0.082 0.582
Au 0.750 0.418 0.918
Au 0.250 0.918 0.418
N 0.826 0.829 0.171
N 0.326 0.329 0.671
N 0.174 0.171 0.829
N 0.674 0.671 0.329

=====

No. 5
The following is a PBE calculation of BaAlOs after structural relaxation, from Alexandria via LeMat-Bulk.

## Properties
Formation enthalpy at 0 K = 0.213 eV per atom

Unit cell a=6.445 b=6.445 c=3.422 alpha=74.60 beta=74.60 gamma=30.79
Fractional positions:
Al 0.055 0.055 0.945
Ba 0.328 0.328 0.672
Os 0.617 0.617 0.383

=====

No. 6
The following is a PBE calculation of BeBiP2O after structural relaxation, from Alexandria via LeMat-Bulk.

## Properties
Raw formation energy = -1.819 kcal/mol of atoms
Relative energy among the computed polymorphs = 0.0 meV/atom

Unit cell a=5.269 b=5.269 c=3.026 alpha=90.00 beta=90.00 gamma=90.00
Fractional positions:
Be 0.000 0.000 0.000
P 0.000 0.500 0.000
P 0.500 0.000 0.000
Bi 0.500 0.500 0.500
O 0.000 0.000 0.500

=====

No. 7
The following is a PBE calculation of UZnTcRu after structural relaxation, from Alexandria via LeMat-Bulk.

## Properties
Formation enthalpy at 0 K = -0.094 eV per atom
Relative energy among the computed polymorphs = 178.7 meV/atom

Unit cell a=4.549 b=4.549 c=4.549 alpha=60.00 beta=60.00 gamma=60.00
Each line ends with the local moment (μB).
Fractional positions:
U 0.500 0.500 0.500  0.61
Tc 0.250 0.250 0.250  -0.10
Zn 0.000 0.000 0.000  0.00
Ru 0.750 0.750 0.750  -0.07

=====

No. 8
The following is a PBE calculation of ReSi2Pd2 after structural relaxation, from Alexandria via LeMat-Bulk.

## Properties
Raw formation energy = -3.642 kcal/mol of atoms

Unit cell a=7.030 b=7.030 c=2.869 alpha=90.00 beta=90.00 gamma=90.00
Fractional positions:
Pd 0.140 0.640 0.500
Pd 0.640 0.860 0.500
Pd 0.360 0.140 0.500
Pd 0.860 0.360 0.500
Si 0.842 0.658 0.000
Si 0.158 0.342 0.000
Si 0.658 0.158 0.000
Si 0.342 0.842 0.000
Re 0.500 0.500 0.000
Re 0.000 0.000 0.000